# Tc2HgOs (PBE, relaxed)
# DFT formation energy (eV/atom): 0.64
# Electronic total energy (eV/atom): -7.42
data_Tc2HgOs
_cell_length_a 3.917
_cell_length_b 3.917
_cell_length_c 8.200
_cell_angle_alpha 90.00
_cell_angle_beta 90.00
_cell_angle_gamma 90.00
_space_group_name_H-M_alt 'I -4 m 2'
_space_group_IT_number 119
_space_group_name_Hall 'I -4 -2'
loop_
_atom_site_label
_atom_site_type_symbol
_atom_site_fract_x
_atom_site_fract_y
_atom_site_fract_z
Tc1 Tc 0.000 0.000 0.000
Tc2 Tc 0.000 0.500 0.250
Hg1 Hg 0.000 0.500 0.750
Os1 Os 0.000 0.000 0.500



# Tc2HgOs (PBE, relaxed)
# DFT formation energy (eV/atom): 0.62
# Electronic total energy (eV/atom): -7.45
data_Tc2HgOs
_cell_length_a 2.887
_cell_length_b 4.701
_cell_length_c 9.579
_cell_angle_alpha 90.00
_cell_angle_beta 90.00
_cell_angle_gamma 90.00
_space_group_name_H-M_alt 'C m m 2'
_space_group_IT_number 35
_space_group_name_Hall 'C 2 -2'
loop_
_atom_site_label
_atom_site_type_symbol
_atom_site_fract_x
_atom_site_fract_y
_atom_site_fract_z
Tc1 Tc 0.000 0.000 0.000
Tc2 Tc 0.000 0.500 0.228
Hg1 Hg 0.000 0.500 0.730
Os1 Os 0.000 0.000 0.458



# Tc2HgOs (PBE, relaxed)
# DFT formation energy (eV/atom): 0.54
# Electronic total energy (eV/atom): -7.53
data_Tc2HgOs
_cell_length_a 9.321
_cell_length_b 2.857
_cell_length_c 4.886
_cell_angle_alpha 90.00
_cell_angle_beta 100.71
_cell_angle_gamma 90.00
_space_group_name_H-M_alt 'C 1 2/m 1'
_space_group_IT_number 12
_space_group_name_Hall '-C 2y'
loop_
_atom_site_label
_atom_site_type_symbol
_atom_site_fract_x
_atom_site_fract_y
_atom_site_fract_z
Tc1 Tc 0.238 0.000 0.216
Hg1 Hg 0.000 0.000 0.500
Os1 Os 0.000 0.500 0.000